# 1
Compound: Er2Ni15Ir2
Source: Alexandria via LeMat-Bulk
Functional: PBE
Structure: optimized geometry

Unit cell a=6.3083 b=6.3083 c=6.3083 alpha=82.54 beta=82.54 gamma=82.54
Positions (direct):
1 Er 0.3430 0.3430 0.3430
2 Er 0.6570 0.6570 0.6570
3 Ni 0.5000 0.0000 0.0000
4 Ni 0.0000 0.0000 0.5000
5 Ni 0.0000 0.5000 0.0000
6 Ni 0.0000 0.7022 0.2978
7 Ni 0.7022 0.2978 0.0000
8 Ni 0.2978 0.0000 0.7022
9 Ni 0.2978 0.7022 0.0000
10 Ni 0.7022 0.0000 0.2978
11 Ni 0.0000 0.2978 0.7022
12 Ni 0.1575 0.6534 0.6534
13 Ni 0.6534 0.6534 0.1575
14 Ni 0.6534 0.1575 0.6534
15 Ni 0.8425 0.3466 0.3466
16 Ni 0.3466 0.3466 0.8425
17 Ni 0.3466 0.8425 0.3466
18 Ir 0.1027 0.1027 0.1027
19 Ir 0.8973 0.8973 0.8973

Summary:
D(E_F) (states/eV per cell): 25.901
E_form (kJ/mol of atoms): -19.6
Total magnetic moment (μB per cell): 7.87

---

# 2
Compound: ErNi4Ir
Source: Alexandria via LeMat-Bulk
Functional: PBE
Structure: optimized geometry

Unit cell a=3.9619 b=6.5299 c=6.8717 alpha=90.00 beta=90.00 gamma=90.00
Positions (direct):
1 Er 0.0000 0.6590 0.7500
2 Er 0.0000 0.3410 0.2500
3 Ni 0.0000 0.0000 0.5000
4 Ni 0.0000 0.0000 0.0000
5 Ni 0.5000 0.9893 0.7500
6 Ni 0.5000 0.0107 0.2500
7 Ni 0.5000 0.6839 0.0546
8 Ni 0.5000 0.3161 0.9454
9 Ni 0.5000 0.6839 0.4454
10 Ni 0.5000 0.3161 0.5546
11 Ir 0.0000 0.2486 0.7500
12 Ir 0.0000 0.7514 0.2500

Summary:
D(E_F) (states/eV per cell): 19.423
E_form (kJ/mol of atoms): -7.4
Offset from the most stable computed form (eV/atom): 0.1920
Total magnetic moment (μB per cell): 1.89

---

# 3
Compound: Er3NiIr
Source: Alexandria via LeMat-Bulk
Functional: PBE
Structure: optimized geometry

Unit cell a=4.1030 b=6.1911 c=8.7819 alpha=90.00 beta=90.00 gamma=90.00
Positions (direct):
1 Er 0.2500 0.7332 0.5552
2 Er 0.2500 0.2248 0.7500
3 Er 0.2500 0.7332 0.9448
4 Er 0.7500 0.2668 0.4448
5 Er 0.7500 0.2668 0.0552
6 Er 0.7500 0.7752 0.2500
7 Ni 0.2500 0.0621 0.2500
8 Ni 0.7500 0.9379 0.7500
9 Ir 0.7500 0.5281 0.7500
10 Ir 0.2500 0.4719 0.2500

Summary:
D(E_F) (states/eV per cell): 9.043
E_form (kJ/mol of atoms): -54.2
Offset from the most stable computed form (eV/atom): 0.0000
Total magnetic moment (μB per cell): 0.00

---

# 4
Compound: Er2NiIr
Source: Alexandria via LeMat-Bulk
Functional: PBE
Structure: optimized geometry

Unit cell a=3.3955 b=4.7629 c=4.7629 alpha=90.00 beta=90.00 gamma=90.00
Positions (direct):
1 Ni 0.5000 0.5000 0.5000
2 Ir 0.5000 0.0000 0.0000
3 Er 0.0000 0.0000 0.5000
4 Er 0.0000 0.5000 0.0000

Summary:
D(E_F) (states/eV per cell): 2.778
E_form (kJ/mol of atoms): -65.6
Total magnetic moment (μB per cell): 0.00

---

# 5
Compound: Er3Ni12Ir5
Source: Alexandria via LeMat-Bulk
Functional: PBE
Structure: optimized geometry

Unit cell a=12.3645 b=12.3645 c=12.3645 alpha=109.47 beta=109.47 gamma=109.47
Positions (direct):
1 Er 0.7500 0.3750 0.1250
2 Er 0.8750 0.7500 0.1250
3 Er 0.3750 0.7500 0.6250
4 Er 0.2500 0.1250 0.3750
5 Er 0.8750 0.1250 0.2500
6 Er 0.3750 0.6250 0.2500
7 Er 0.6250 0.3750 0.7500
8 Er 0.1250 0.8750 0.7500
9 Er 0.7500 0.8750 0.6250
10 Er 0.6250 0.2500 0.3750
11 Er 0.1250 0.2500 0.8750
12 Er 0.2500 0.6250 0.8750
13 Ir 0.1250 0.3750 0.2500
14 Ir 0.0000 0.5000 0.0000
15 Ir 0.0000 0.0000 0.0000
16 Ir 0.3750 0.2500 0.1250
17 Ir 0.5000 0.0000 0.5000
18 Ir 0.5000 0.5000 0.0000
19 Ir 0.1250 0.7500 0.3750
20 Ir 0.7500 0.1250 0.8750
21 Ir 0.7500 0.6250 0.3750
22 Ir 0.3750 0.1250 0.7500
23 Ir 0.6250 0.8750 0.2500
24 Ir 0.5000 0.5000 0.5000
25 Ir 0.5000 0.0000 0.0000
26 Ir 0.0000 0.0000 0.5000
27 Ir 0.2500 0.3750 0.6250
28 Ir 0.2500 0.8750 0.1250
29 Ir 0.0000 0.5000 0.5000
30 Ir 0.8750 0.2500 0.6250
31 Ir 0.6250 0.7500 0.8750
32 Ir 0.8750 0.6250 0.7500
33 Ni 0.7158 0.1314 0.0504
34 Ni 0.3347 0.5504 0.4190
35 Ni 0.9496 0.3686 0.2842
36 Ni 0.5504 0.2158 0.1314
37 Ni 0.5843 0.7158 0.6653
38 Ni 0.9496 0.5810 0.1653
39 Ni 0.3347 0.7842 0.4157
40 Ni 0.0810 0.9157 0.1314
41 Ni 0.5810 0.9496 0.6653
42 Ni 0.7158 0.5843 0.1653
43 Ni 0.7842 0.4496 0.3686
44 Ni 0.8347 0.9190 0.0504
45 Ni 0.1314 0.7158 0.5504
46 Ni 0.3686 0.4190 0.0843
47 Ni 0.0843 0.9190 0.3686
48 Ni 0.4157 0.1314 0.5810
49 Ni 0.0843 0.1653 0.2158
50 Ni 0.4496 0.6653 0.0810
51 Ni 0.8347 0.9157 0.2842
52 Ni 0.1314 0.4157 0.0810
53 Ni 0.3686 0.9496 0.7842
54 Ni 0.5810 0.6314 0.4157
55 Ni 0.9190 0.8347 0.5504
56 Ni 0.7842 0.3347 0.9157
57 Ni 0.4190 0.3686 0.5843
58 Ni 0.0810 0.1653 0.4496
59 Ni 0.2158 0.6653 0.0843
60 Ni 0.1653 0.0843 0.7158
61 Ni 0.6314 0.0504 0.2158
62 Ni 0.8686 0.5843 0.9190
63 Ni 0.5504 0.3347 0.9190
64 Ni 0.5843 0.8686 0.4190
65 Ni 0.9157 0.8347 0.7842
66 Ni 0.9157 0.0810 0.6314
67 Ni 0.8686 0.2842 0.4496
68 Ni 0.1653 0.0810 0.9496
69 Ni 0.6314 0.5810 0.9157
70 Ni 0.4190 0.0504 0.3347
71 Ni 0.2842 0.4157 0.8347
72 Ni 0.2158 0.5504 0.6314
73 Ni 0.9190 0.0843 0.8686
74 Ni 0.6653 0.2158 0.5843
75 Ni 0.4496 0.7842 0.8686
76 Ni 0.0504 0.4190 0.8347
77 Ni 0.4157 0.2842 0.3347
78 Ni 0.0504 0.6314 0.7158
79 Ni 0.6653 0.4496 0.5810
80 Ni 0.2842 0.8686 0.9496

Summary:
D(E_F) (states/eV per cell): 107.338
E_form (kJ/mol of atoms): 64.1
Total magnetic moment (μB per cell): 0.00

---

# 6
Compound: Er3Ni2Ir7
Source: Alexandria via LeMat-Bulk
Functional: PBE
Structure: optimized geometry

Unit cell a=5.2706 b=5.2706 c=8.9778 alpha=72.93 beta=72.93 gamma=60.00
Positions (direct):
1 Er 0.0000 0.0000 0.0000
2 Er 0.8598 0.8598 0.4206
3 Er 0.1402 0.1402 0.5794
4 Ni 0.6665 0.6665 0.0004
5 Ni 0.3335 0.3335 0.9996
6 Ir 0.5000 0.5000 0.5000
7 Ir 0.9222 0.4186 0.2406
8 Ir 0.4186 0.9222 0.2406
9 Ir 0.4186 0.4186 0.2406
10 Ir 0.0778 0.5814 0.7594
11 Ir 0.5814 0.5814 0.7594
12 Ir 0.5814 0.0778 0.7594

Summary:
D(E_F) (states/eV per cell): 12.578
E_form (kJ/mol of atoms): -61.1
Total magnetic moment (μB per cell): 0.00

---

# 7
Compound: ErNi2Ir2
Source: Alexandria via LeMat-Bulk
Functional: PBE
Structure: optimized geometry

Unit cell a=3.8549 b=3.8549 c=11.2623 alpha=99.85 beta=99.85 gamma=90.00
Positions (direct):
1 Er 0.6250 0.6250 0.2501
2 Er 0.3750 0.3750 0.7499
3 Ni 0.0000 0.5000 0.0000
4 Ni 0.1771 0.1771 0.3542
5 Ni 0.5000 0.0000 0.0000
6 Ni 0.8229 0.8229 0.6458
7 Ir 0.7500 0.2500 0.5000
8 Ir 0.9291 0.9291 0.8583
9 Ir 0.0709 0.0709 0.1417
10 Ir 0.2500 0.7500 0.5000

Summary:
D(E_F) (states/eV per cell): 13.462
E_form (kJ/mol of atoms): -21.2
Total magnetic moment (μB per cell): 1.37

---

# 8
Compound: Er5NiIr4
Source: Alexandria via LeMat-Bulk
Functional: PBE
Structure: optimized geometry

Unit cell a=3.3421 b=3.3421 c=17.4308 alpha=90.00 beta=90.00 gamma=90.00
Positions (direct):
1 Er 0.5000 0.5000 0.0991
2 Er 0.5000 0.5000 0.2991
3 Er 0.5000 0.5000 0.5000
4 Er 0.5000 0.5000 0.7009
5 Er 0.5000 0.5000 0.9009
6 Ni 0.0000 0.0000 0.0000
7 Ir 0.0000 0.0000 0.1970
8 Ir 0.0000 0.0000 0.3993
9 Ir 0.0000 0.0000 0.6007
10 Ir 0.0000 0.0000 0.8030

Summary:
D(E_F) (states/eV per cell): 4.603
E_form (kJ/mol of atoms): -76.6
Total magnetic moment (μB per cell): 0.00

---

# 9
Compound: Er4Ni2Ir
Source: Alexandria via LeMat-Bulk
Functional: PBE
Structure: optimized geometry

Unit cell a=7.3150 b=7.3193 c=7.3184 alpha=109.01 beta=108.98 gamma=110.45
Positions (direct):
1 Er 0.8776 0.2507 0.2536
2 Er 0.2527 0.4993 0.1266
3 Er 0.9973 0.6239 0.7466
4 Er 0.7494 0.0027 0.6266
5 Er 0.3761 0.1228 0.3735
6 Er 0.3726 0.1259 0.8734
7 Er 0.5008 0.6277 0.7535
8 Er 0.8739 0.7470 0.2464
9 Ni 0.7477 0.3748 0.8728
10 Ni 0.5018 0.8751 0.1270
11 Ni 0.6250 0.4982 0.3732
12 Ni 0.1252 0.2519 0.6270
13 Ir 0.2501 0.7501 0.5000
14 Ir 0.9999 0.9999 0.9999

Summary:
D(E_F) (states/eV per cell): 9.424
E_form (kJ/mol of atoms): -49.7
Total magnetic moment (μB per cell): 0.00

---

# 10
Compound: Er4NiIr2
Source: Alexandria via LeMat-Bulk
Functional: PBE
Structure: optimized geometry

Unit cell a=4.7634 b=4.7634 c=8.2469 alpha=73.21 beta=73.21 gamma=60.00
Positions (direct):
1 Er 0.8745 0.8745 0.3764
2 Er 0.1255 0.1255 0.6236
3 Er 0.6242 0.6242 0.1275
4 Er 0.3758 0.3758 0.8725
5 Ni 0.0000 0.0000 0.0000
6 Ir 0.7490 0.7490 0.7530
7 Ir 0.2510 0.2510 0.2470

Summary:
D(E_F) (states/eV per cell): 2.365
E_form (kJ/mol of atoms): -72.7
Total magnetic moment (μB per cell): 0.00

---

# 11
Compound: ErNiIr
Source: Alexandria via LeMat-Bulk
Functional: PBE
Structure: optimized geometry

Unit cell a=3.7270 b=4.1172 c=4.1172 alpha=120.00 beta=90.00 gamma=90.00
Positions (direct):
1 Ni 0.1667 0.0000 0.0000
2 Ir 0.1667 0.3333 0.6667
3 Er 0.6667 0.6667 0.3333

Summary:
D(E_F) (states/eV per cell): 1.350
E_form (kJ/mol of atoms): -55.3
Total magnetic moment (μB per cell): 0.00

---

# 12
Compound: Er7Ni2Ir2
Source: Alexandria via LeMat-Bulk
Functional: PBE
Structure: optimized geometry

Unit cell a=6.5814 b=6.8060 c=6.5814 alpha=90.00 beta=100.95 gamma=90.00
Positions (direct):
1 Er 0.9998 0.2596 0.5003
2 Er 0.5003 0.7404 0.9998
3 Er 0.0002 0.7404 0.4997
4 Er 0.4997 0.2596 0.0002
5 Er 0.0000 0.0000 0.0000
6 Er 0.5002 0.7415 0.4998
7 Er 0.4998 0.2585 0.5002
8 Ni 0.7622 0.5000 0.7622
9 Ni 0.2378 0.5000 0.2378
10 Ir 0.7229 0.0000 0.2771
11 Ir 0.2771 0.0000 0.7229

Summary:
D(E_F) (states/eV per cell): 9.735
E_form (kJ/mol of atoms): -33.9
Total magnetic moment (μB per cell): 0.00

---

# 13
Compound: Er6NiIr5
Source: Alexandria via LeMat-Bulk
Functional: PBE
Structure: optimized geometry

Unit cell a=4.7221 b=6.9948 c=7.4790 alpha=90.00 beta=71.42 gamma=90.00
Positions (direct):
1 Ni 0.0000 0.0000 0.0000
2 Ir 0.6676 0.5000 0.6654
3 Ir 0.3350 0.0000 0.3290
4 Ir 0.0000 0.5000 0.0000
5 Ir 0.6650 0.0000 0.6710
6 Ir 0.3324 0.5000 0.3346
7 Er 0.8326 0.7507 0.3344
8 Er 0.8326 0.2493 0.3344
9 Er 0.5000 0.2499 0.0000
10 Er 0.5000 0.7501 0.0000
11 Er 0.1674 0.7507 0.6656
12 Er 0.1674 0.2493 0.6656

Summary:
D(E_F) (states/eV per cell): 4.952
E_form (kJ/mol of atoms): -79.5
Total magnetic moment (μB per cell): 0.00

---

# 14
Compound: Er3NiIr
Source: Alexandria via LeMat-Bulk
Functional: PBE
Structure: optimized geometry

Unit cell a=3.9348 b=6.7510 c=8.6845 alpha=90.00 beta=90.00 gamma=90.00
Positions (direct):
1 Er 0.7500 0.7500 0.0500
2 Er 0.2500 0.2500 0.9500
3 Er 0.7500 0.9874 0.6697
4 Er 0.7500 0.5126 0.6697
5 Er 0.2500 0.0126 0.3303
6 Er 0.2500 0.4874 0.3303
7 Ni 0.7500 0.7500 0.3978
8 Ni 0.2500 0.2500 0.6022
9 Ir 0.7500 0.2500 0.1698
10 Ir 0.2500 0.7500 0.8302

Summary:
D(E_F) (states/eV per cell): 4.573
E_form (kJ/mol of atoms): -50.7
Offset from the most stable computed form (eV/atom): 0.0360
Total magnetic moment (μB per cell): 0.00

---

# 15
Compound: Er3Ni4Ir4
Source: Alexandria via LeMat-Bulk
Functional: PBE
Structure: optimized geometry

Unit cell a=6.3237 b=6.3237 c=6.3237 alpha=109.47 beta=109.47 gamma=109.47
Positions (direct):
1 Er 0.5000 0.5000 0.0000
2 Er 0.5000 0.0000 0.5000
3 Er 0.0000 0.5000 0.5000
4 Ni 0.0000 0.2302 0.0000
5 Ni 0.0000 0.0000 0.2302
6 Ni 0.2302 0.0000 0.0000
7 Ni 0.7698 0.7698 0.7698
8 Ir 0.0000 0.5916 0.0000
9 Ir 0.5916 0.0000 0.0000
10 Ir 0.0000 0.0000 0.5916
11 Ir 0.4084 0.4084 0.4084

Summary:
D(E_F) (states/eV per cell): 13.676
E_form (kJ/mol of atoms): -24.4
Total magnetic moment (μB per cell): 3.25

---

# 16
Compound: Er2Ni3Ir
Source: Alexandria via LeMat-Bulk
Functional: PBE
Structure: optimized geometry

Unit cell a=5.0401 b=5.0401 c=5.2043 alpha=89.99 beta=118.98 gamma=120.00
Positions (direct):
1 Er 0.7538 0.3768 0.1306
2 Er 0.2462 0.6232 0.8694
3 Ni 0.5000 0.5000 0.5000
4 Ni 0.0000 0.0000 0.5000
5 Ni 0.5000 0.0000 0.5000
6 Ir 0.0000 0.0000 0.0000

Summary:
D(E_F) (states/eV per cell): 6.057
E_form (kJ/mol of atoms): -58.4
Total magnetic moment (μB per cell): 0.00

---

# 17
Compound: ErNiIr
Source: Alexandria via LeMat-Bulk
Functional: PBE
Structure: optimized geometry

Unit cell a=5.1884 b=5.1884 c=5.1884 alpha=89.51 beta=58.02 gamma=117.50
Positions (direct):
1 Er 0.7500 0.8720 0.3780
2 Er 0.2500 0.1280 0.6220
3 Ir 0.5000 0.0000 0.0000
4 Ir 0.0000 0.5000 0.0000
5 Ni 0.0000 0.5000 0.5000
6 Ni 0.5000 0.5000 0.0000

Summary:
D(E_F) (states/eV per cell): 5.239
E_form (kJ/mol of atoms): -67.6
Total magnetic moment (μB per cell): 0.00

---

# 18
Compound: ErNi4Ir
Source: Alexandria via LeMat-Bulk
Functional: PBE
Structure: optimized geometry

Unit cell a=4.8543 b=4.8543 c=4.8543 alpha=60.00 beta=60.00 gamma=60.00
Positions (direct):
1 Ni 0.6239 0.6239 0.1284
2 Ni 0.6239 0.1284 0.6239
3 Ni 0.6239 0.6239 0.6239
4 Ni 0.1284 0.6239 0.6239
5 Ir 0.2500 0.2500 0.2500
6 Er 0.0000 0.0000 0.0000

Summary:
D(E_F) (states/eV per cell): 10.070
E_form (kJ/mol of atoms): -26.0
Offset from the most stable computed form (eV/atom): 0.0000
Total magnetic moment (μB per cell): 1.99

---

# 19
Compound: Er4Ni2Ir
Source: Alexandria via LeMat-Bulk
Functional: PBE
Structure: optimized geometry

Unit cell a=4.7335 b=4.7335 c=8.2299 alpha=73.29 beta=73.29 gamma=60.00
Positions (direct):
1 Er 0.8753 0.8753 0.3741
2 Er 0.1247 0.1247 0.6259
3 Er 0.6239 0.6239 0.1282
4 Er 0.3761 0.3761 0.8718
5 Ni 0.7488 0.7488 0.7536
6 Ni 0.2512 0.2512 0.2464
7 Ir 0.0000 0.0000 0.0000

Summary:
D(E_F) (states/eV per cell): 4.106
E_form (kJ/mol of atoms): -49.6
Total magnetic moment (μB per cell): 0.00

---

# 20
Compound: Er4NiIr3
Source: Alexandria via LeMat-Bulk
Functional: PBE
Structure: optimized geometry

Unit cell a=3.2905 b=4.8612 c=9.7178 alpha=90.00 beta=90.00 gamma=90.00
Positions (direct):
1 Ni 0.5000 0.5000 0.0000
2 Ir 0.5000 0.0000 0.2480
3 Ir 0.5000 0.5000 0.5000
4 Ir 0.5000 0.0000 0.7520
5 Er 0.0000 0.0000 0.5000
6 Er 0.0000 0.5000 0.7514
7 Er 0.0000 0.0000 0.0000
8 Er 0.0000 0.5000 0.2486

Summary:
D(E_F) (states/eV per cell): 3.196
E_form (kJ/mol of atoms): -75.8
Total magnetic moment (μB per cell): 0.00